Compound: Sm4TmPd2
Source: the Alexandria database
Functional: GGA-PBE
Structure: relaxed

Properties
ρ: 7.91 g cm⁻³
Energy: -5.09 eV/atom
Calculated formation energy: -1.9 eV per formula unit

Lattice parameters (Å, degrees): 5.2823 5.2823 25.6283 90.00 90.00 120.00
With the nearest neighbours (Å) after each atom.
Space group R-3m (No. 166, hexagonal axes)
Asymmetric unit:
Sm 0.0000 0.0000 0.1183  3 Tm 3.29, 3 Pd 3.36, 3 Sm 3.57
Sm 0.0000 0.0000 0.2875  4 Pd 2.80-3.08
Tm 0.0000 0.0000 0.5000  2 Pd 2.65
Pd 0.0000 0.0000 0.3966  1 Tm 2.65, 1 Sm 2.80



Compound: Sm2TmPd4
Source: the Alexandria database
Functional: GGA-PBE
Structure: relaxed

Properties
ρ: 8.70 g cm⁻³
Energy: -5.53 eV/atom
Calculated formation energy: -4.0 eV per formula unit

Lattice parameters (Å, degrees): 5.1974 5.3093 7.0074 72.28 86.60 68.30
With the nearest neighbours (Å) after each atom.
Space group P-1 (No. 2)
Asymmetric unit:
Sm 0.0039 0.3305 0.2981  5 Pd 2.89-3.13
Tm 0.5000 0.0000 0.0000  6 Pd 2.60-2.85
Pd 0.0000 0.0000 0.0000  2 Tm 2.60, 2 Pd 2.74
Pd 0.3182 0.6868 0.3513  3 Pd 2.65-2.91, 1 Tm 2.85, 1 Sm 2.89
Pd 0.5000 0.5000 0.0000  2 Tm 2.65, 4 Pd 2.91-2.95



Compound: SmTm2Pd
Source: the Alexandria database
Functional: GGA-PBE
Structure: relaxed

Properties
ρ: 9.32 g cm⁻³
Relative energy among the computed polymorphs: 0.0332 eV per atom
Energy: -5.16 eV/atom
Calculated formation energy: -1.8 eV per formula unit

Lattice parameters (Å, degrees): 3.5384 3.5384 8.4637 90.00 90.00 90.00
With the nearest neighbours (Å) after each atom.
Space group P4/mmm (No. 123)
Asymmetric unit:
Sm 0.0000 0.0000 0.0000  4 Sm 3.54, 8 Tm 3.60
Tm 0.5000 0.5000 0.3053  4 Pd 3.00, 1 Tm 3.30
Pd 0.0000 0.0000 0.5000  8 Tm 3.00



Compound: SmTm2Pd2
Source: the Alexandria database
Functional: GGA-PBE
Structure: relaxed

Properties
ρ: 9.79 g cm⁻³
Relative energy among the computed polymorphs: 0.0000 eV per atom
Energy: -5.53 eV/atom
Calculated formation energy: -3.6 eV per formula unit

Lattice parameters (Å, degrees): 7.8381 7.8381 3.8707 90.00 90.00 90.00
With the nearest neighbours (Å) after each atom.
Space group P4/mbm (No. 127)
Asymmetric unit:
Sm 0.0000 0.0000 0.0000  4 Pd 3.07
Tm 0.1620 0.3380 0.5000  6 Pd 3.00-3.02
Pd 0.1317 0.6317 0.0000  1 Pd 2.92, 6 Tm 3.00-3.02, 2 Sm 3.07



Compound: SmTm2Pd
Source: the Alexandria database
Functional: GGA-PBE
Structure: relaxed

Properties
ρ: 9.04 g cm⁻³
Relative energy among the computed polymorphs: 0.0000 eV per atom
Energy: -5.19 eV/atom
Calculated formation energy: -1.9 eV per formula unit

Lattice parameters (Å, degrees): 7.0390 9.5991 6.4666 90.00 90.00 90.00
With the nearest neighbours (Å) after each atom.
Space group Pnma (No. 62)
Asymmetric unit:
Sm 0.0158 0.2500 0.1310  2 Pd 2.93-2.98
Tm 0.1785 0.0599 0.6740  2 Pd 2.82-2.87
Pd 0.1118 0.7500 0.4290  4 Tm 2.82-2.87, 2 Sm 2.93-2.98



Compound: SmTmZnPd
Source: the Alexandria database
Functional: GGA-PBE
Structure: relaxed

Properties
ρ: 9.12 g cm⁻³
Relative energy among the computed polymorphs: 0.0000 eV per atom
Energy: -4.53 eV/atom
Calculated formation energy: -2.4 eV per formula unit

Lattice parameters (Å, degrees): 3.5670 3.5670 7.0284 90.00 90.00 90.00
With the nearest neighbours (Å) after each atom.
Space group P4mm (No. 99)
Asymmetric unit:
Sm 0.0000 0.0000 0.0000  4 Pd 3.15, 4 Zn 3.15, 1 Tm 3.45
Tm 0.0000 0.0000 0.4909  4 Pd 2.97, 4 Zn 3.03
Zn 0.5000 0.5000 0.7307  4 Tm 3.03, 4 Sm 3.15, 1 Pd 3.25
Pd 0.5000 0.5000 0.2689  4 Tm 2.97, 4 Sm 3.15, 1 Zn 3.25



Compound: SmTmZnPd
Source: the Alexandria database
Functional: GGA-PBE
Structure: relaxed

Properties
ρ: 9.09 g cm⁻³
Relative energy among the computed polymorphs: 0.0316 eV per atom
Energy: -4.49 eV/atom
Calculated formation energy: -2.3 eV per formula unit

Lattice parameters (Å, degrees): 7.1064 7.1064 7.1064 90.00 90.00 90.00
With the nearest neighbours (Å) after each atom.
Space group F-43m (No. 216)
Asymmetric unit:
Sm 0.0000 0.0000 0.0000  4 Pd 3.08, 4 Zn 3.08
Tm 0.0000 0.0000 0.5000  4 Zn 3.08, 4 Pd 3.08
Zn 0.2500 0.2500 0.2500  4 Sm 3.08, 4 Tm 3.08
Pd 0.2500 0.2500 0.7500  4 Tm 3.08, 4 Sm 3.08



Compound: Sm3UPd12
Source: the Alexandria database
Functional: GGA-PBE
Structure: relaxed

Properties
ρ: 11.34 g cm⁻³
Energy: -6.25 eV/atom
Calculated formation energy: -12.2 eV per formula unit

Lattice parameters (Å, degrees): 4.1644 4.1644 16.6025 90.00 90.00 90.00
With the nearest neighbours (Å) after each atom.
Space group P4/mmm (No. 123)
Asymmetric unit:
Sm 0.0000 0.0000 0.0000  12 Pd 2.94-2.95
Sm 0.0000 0.0000 0.2478  12 Pd 2.90-3.04
U 0.0000 0.0000 0.5000  12 Pd 2.87-2.94
Pd 0.0000 0.5000 0.1262  4 Sm 2.90-2.95, 8 Pd 2.94-2.96
Pd 0.0000 0.5000 0.3812  2 U 2.87, 8 Pd 2.87-2.97, 2 Sm 3.04
Pd 0.5000 0.5000 0.0000  4 Sm 2.94, 8 Pd 2.95
Pd 0.5000 0.5000 0.2532  4 Sm 2.95, 8 Pd 2.96-2.97
Pd 0.5000 0.5000 0.5000  8 Pd 2.87, 4 U 2.94